GGA+U Hf2GaCoF, relaxed; calculated total energy = -6.3852 eV per atom; symmetry = P4/mmm (123)
1.0
-2.6860 -1.2488 3.4058
-2.0229 -2.6369 -2.5621
2.9026 -3.2817 1.0858
Co Hf Ga F
1 2 1 1
Direct
0.0000 0.5000 0.0000
0.0000 0.0000 0.5000
0.5000 0.0000 0.0000
0.5000 0.5000 0.5000
0.0000 0.0000 0.0000